Below is crystalline CuAs2 at its relaxed geometry, with properties calculated at the GGA-PBE level.

Lattice parameters (Å, degrees): 5.2906 5.2906 10.2461 90.00 90.00 120.00
Last column: nearest neighbours and their distance in Å.
Atoms (fractional coordinates):
1 Cu 0.3333 0.6667 0.0373  3 As 2.61
2 Cu 0.3333 0.6667 0.4627  3 As 2.61
3 Cu 0.6667 0.3333 0.5373  3 As 2.61
4 Cu 0.6667 0.3333 0.9627  3 As 2.61
5 As 0.0000 0.0000 0.0000  6 As 3.03, 6 Cu 3.08
6 As 0.0000 0.0000 0.5000  6 As 3.03, 6 Cu 3.08
7 As 0.1770 0.3539 0.2500  2 As 2.48, 2 Cu 2.61
8 As 0.1770 0.8230 0.2500  2 As 2.48, 2 Cu 2.61
9 As 0.3539 0.1770 0.7500  2 As 2.48, 2 Cu 2.61
10 As 0.6461 0.8230 0.2500  2 As 2.48, 2 Cu 2.61
11 As 0.8230 0.1770 0.7500  2 As 2.48, 2 Cu 2.61
12 As 0.8230 0.6461 0.7500  2 As 2.48, 2 Cu 2.61

Output
Energy relative to the elements = 51.9 kJ/mol of atoms
Total magnetization = 0.0 Bohr magnetons per cell
V = 20.70 A^3/atom
DFT total energy = -3.93 eV/atom
Symmetry = No. 194